Record 1
Below is a relaxed structure of GeH, with properties calculated at the PBE-GGA level.

Geometry as extended XYZ:
```
2
Lattice="2.6702 0.0000 0.0000 0.0000 2.6730 0.0000 -0.0530 0.0000 3.5963" Properties=species:S:1:pos:R:3 pbc="T T T"
Ge 0.0000 0.0000 0.0000
H -0.0265 0.0000 1.7982
```

Results
total energy	-7.3	eV per cell

Record 2
Below is a relaxed structure of Ba2GaP2, with properties calculated at the PBE-GGA level.

Geometry as extended XYZ:
```
10
Lattice="6.8995 -3.2647 0.0000 6.8995 3.2647 0.0000 -4.9241 0.0000 7.2875" Properties=species:S:1:pos:R:3 pbc="T T T"
Ba -0.7798 0.0000 2.2218
Ba -0.0202 0.0000 6.6503
Ba 8.8951 0.0000 0.6372
Ba 9.6547 0.0000 5.0657
Ga 3.4210 0.0000 2.5180
Ga 5.4539 0.0000 4.7695
P 1.9752 0.0000 0.7103
P 3.0009 0.0000 4.8481
P 5.8740 0.0000 2.4394
P 6.8997 0.0000 6.5772
```

Results
polymorph energy (0 for the lowest one)	0	meV per atom
total energy	-42.9	eV per cell
DFT formation energy	-0.753	eV per atom

Record 3
Below is a relaxed structure of CoAs2W, with properties calculated at the PBE-GGA level.

Geometry as extended XYZ:
```
4
Lattice="3.2735 0.0000 0.0000 0.0000 3.2735 0.0000 0.0000 0.0000 5.5702" Properties=species:S:1:pos:R:3 pbc="T T T"
Co 0.0000 0.0000 0.0000
As 0.0000 0.0000 2.9701
As 1.6368 1.6368 4.8750
W 1.6368 1.6368 1.8303
```

Results
total energy	-28.9	eV per cell
DFT formation energy	0.105	eV per atom

Record 4
Below is a relaxed structure of Al2Te3, with properties calculated at the PBE-GGA level.

Geometry as extended XYZ:
```
5
Lattice="4.0063 0.0000 0.0000 -2.0031 3.4695 0.0000 0.0000 0.0000 11.0645" Properties=species:S:1:pos:R:3 pbc="T T T"
Al 0.0000 2.3130 3.6182
Al 2.0031 1.1565 7.4463
Te 0.0000 0.0000 5.5323
Te 0.0000 2.3130 8.8523
Te 2.0031 1.1565 2.2122
```

Results
total energy	-18.7	eV per cell

Record 5
Below is a relaxed structure of ThNiBi, with properties calculated at the PBE-GGA level.

Geometry as extended XYZ:
```
3
Lattice="-1.7556 1.7556 5.8925 1.7556 -1.7556 5.8925 1.7556 1.7556 -5.8925" Properties=species:S:1:pos:R:3 pbc="T T T"
Th 0.0000 0.0000 0.0000
Ni 0.0000 0.0000 7.3775
Bi 0.0000 0.0000 3.3034
```

Results
total energy	-17.9	eV per cell
DFT formation energy	-0.265	eV per atom

Record 6
Below is a relaxed structure of CeDyLuZn, with properties calculated at the PBE-GGA level.

Geometry as extended XYZ:
```
4
Lattice="0.0000 3.7440 3.7440 3.7440 0.0000 3.7440 3.7440 3.7440 0.0000" Properties=species:S:1:pos:R:3 pbc="T T T"
Ce 0.0000 0.0000 0.0000
Dy 3.7440 3.7440 3.7440
Lu 1.8720 1.8720 1.8720
Zn 5.6160 5.6160 5.6160
```

Results
total energy	-16.2	eV per cell
DFT formation energy	0.043	eV per atom

Record 7
Below is a relaxed structure of Cd2HgAu, with properties calculated at the PBE-GGA level.

Geometry as extended XYZ:
```
4
Lattice="4.7387 -1.6873 0.0000 4.7387 1.6873 0.0000 -1.2070 0.0000 5.4488" Properties=species:S:1:pos:R:3 pbc="T T T"
Cd 2.0236 0.0000 1.2756
Cd 6.2468 0.0000 4.1732
Hg -0.6035 0.0000 2.7244
Au 4.7387 0.0000 0.0000
```

Results
polymorph energy (0 for the lowest one)	54	meV per atom
total energy	-5.5	eV per cell
DFT formation energy	-0.028	eV per atom

Record 8
Below is a relaxed structure of Np2ScPdS4, with properties calculated at the PBE-GGA level.

Geometry as extended XYZ:
```
8
Lattice="-3.3726 3.3726 3.2646 3.3726 -3.3726 3.2646 3.3726 3.3726 -3.2646" Properties=species:S:1:pos:R:3 pbc="T T T"
Np 3.3726 0.0000 0.0000
Np 0.0000 3.3726 0.0000
Sc 0.0000 0.0000 0.0000
Pd 0.0000 0.0000 3.2646
S 2.0163 2.0163 -1.5205
S 1.3563 1.3563 1.7441
S 1.3563 -1.3563 4.7851
S -1.3563 1.3563 4.7851
```

Results
total energy	-63.2	eV per cell

Among the records above, which one has the highest total energy? Cd2HgAu